[1]
DFT (PBE-GGA) results for crystalline La2Tb3NdEr6 at its relaxed geometry.

POSCAR file:
```
La2Tb3NdEr6
1.0
3.103 -5.374 0.000
3.103 5.374 0.000
-2.063 0.000 11.588
La Tb Nd Er
2 3 1 6
direct
0.167 0.833 0.000 La
0.833 0.167 0.000 La
0.000 0.000 0.500 Tb
0.333 0.667 0.500 Tb
0.667 0.333 0.500 Tb
0.500 0.500 0.000 Nd
0.082 0.415 0.746 Er
0.252 0.252 0.254 Er
0.415 0.082 0.746 Er
0.585 0.918 0.254 Er
0.748 0.748 0.746 Er
0.918 0.585 0.254 Er
```

Properties
- energy (eV per atom) = -4.636
- space-group type = C2/m, No. 12
- size of the total moment (μB/atom) = 0.000
- E_form (eV per atom) = 0.0211

***

[2]
DFT (PBE-GGA) results for crystalline LaTbNdEr3 at its relaxed geometry.

POSCAR file:
```
LaTbNdEr3
1.0
2.941 -5.707 0.000
2.941 5.707 0.000
0.000 0.000 11.772
La Tb Nd Er
2 2 2 6
direct
0.005 0.995 0.750 La
0.995 0.005 0.250 La
0.325 0.675 0.750 Tb
0.675 0.325 0.250 Tb
0.500 0.500 0.000 Nd
0.500 0.500 0.500 Nd
0.175 0.825 0.003 Er
0.175 0.825 0.497 Er
0.329 0.671 0.250 Er
0.671 0.329 0.750 Er
0.825 0.175 0.503 Er
0.825 0.175 0.997 Er
```

Properties
- energy (eV per atom) = -4.559
- space-group type = Cmcm, No. 63
- size of the total moment (μB/atom) = 0.001
- E_form (eV per atom) = 0.1096

***

[3]
DFT (PBE-GGA) results for crystalline LaTbNd4Er2 at its relaxed geometry.

POSCAR file:
```
LaTbNd4Er2
1.0
6.270 0.000 0.000
0.000 3.648 0.000
-2.122 0.000 11.824
La Tb Nd Er
1 1 4 2
direct
0.000 0.000 0.000 La
0.000 0.500 0.500 Tb
0.251 0.500 0.255 Nd
0.252 0.000 0.749 Nd
0.748 0.000 0.251 Nd
0.749 0.500 0.745 Nd
0.500 0.000 0.500 Er
0.500 0.500 0.000 Er
```

Properties
- energy (eV per atom) = -4.701
- space-group type = P2/m, No. 10
- size of the total moment (μB/atom) = 0.000
- E_form (eV per atom) = 0.0182

***

[4]
DFT (PBE-GGA) results for crystalline LaTb2NdEr at its relaxed geometry.

POSCAR file:
```
LaTb2NdEr
1.0
4.240 -5.810 0.000
4.240 5.810 0.000
0.000 0.000 7.229
La Tb Nd Er
2 4 2 2
direct
0.234 0.766 0.750 La
0.766 0.234 0.250 La
0.187 0.187 0.000 Tb
0.187 0.187 0.500 Tb
0.813 0.813 0.000 Tb
0.813 0.813 0.500 Tb
0.497 0.503 0.750 Nd
0.503 0.497 0.250 Nd
0.219 0.781 0.250 Er
0.781 0.219 0.750 Er
```

Properties
- energy (eV per atom) = -4.342
- space-group type = Cmcm, No. 63
- size of the total moment (μB/atom) = 0.001
- E_form (eV per atom) = 0.3619

***

[5]
DFT (PBE-GGA) results for crystalline La2Tb2Nd4Er at its relaxed geometry.

POSCAR file:
```
La2Tb2Nd4Er
1.0
9.540 -1.845 0.000
9.540 1.845 0.000
-4.226 0.000 8.816
La Tb Nd Er
2 2 4 1
direct
0.165 0.165 0.498 La
0.835 0.835 0.502 La
0.352 0.352 0.834 Tb
0.648 0.648 0.166 Tb
0.019 0.019 0.834 Nd
0.314 0.314 0.166 Nd
0.686 0.686 0.834 Nd
0.981 0.981 0.166 Nd
0.500 0.500 0.500 Er
```

Properties
- energy (eV per atom) = -4.741
- space-group type = C2/m, No. 12
- size of the total moment (μB/atom) = 0.000
- E_form (eV per atom) = 0.0088

***

[6]
DFT (PBE-GGA) results for crystalline LaTb2Nd5Er at its relaxed geometry.

POSCAR file:
```
LaTb2Nd5Er
1.0
-4.712 4.712 7.152
4.712 -4.712 7.152
4.712 4.712 -7.152
La Tb Nd Er
2 4 10 2
direct
0.250 0.250 0.000 La
0.750 0.750 0.000 La
0.109 0.609 0.719 Tb
0.391 0.109 0.500 Tb
0.609 0.891 0.500 Tb
0.891 0.391 0.281 Tb
0.000 0.000 0.000 Nd
0.071 0.166 0.500 Nd
0.166 0.666 0.094 Nd
0.334 0.429 0.500 Nd
0.429 0.929 0.094 Nd
0.500 0.500 0.000 Nd
0.571 0.071 0.906 Nd
0.666 0.571 0.500 Nd
0.834 0.334 0.906 Nd
0.929 0.834 0.500 Nd
0.250 0.750 0.500 Er
0.750 0.250 0.500 Er
```

Properties
- energy (eV per atom) = -4.449
- space-group type = I4/mcm, No. 140
- size of the total moment (μB/atom) = 0.000
- E_form (eV per atom) = 0.2832